No. 1
Material: Pm7SmTh2
Method: DFT, PBE-GGA
State: optimized geometry

Structure (POSCAR):
```
Pm7SmTh2
1.0
5.641 0.000 0.000
0.000 9.235 2.100
0.000 3.466 8.814
Pm Sm Th
7 1 2
Direct
0.000 0.219 0.219
0.000 0.781 0.781
0.500 0.935 0.291
0.500 0.065 0.709
0.500 0.709 0.065
0.500 0.291 0.935
0.500 0.500 0.500
0.000 0.000 0.000
0.500 0.296 0.296
0.500 0.704 0.704
```

Computed properties:
**Magnetic moment**: 0.0 μB/f.u.
**Fermi-level density of states**: 1.598 states/eV/atom
**Formation energy**: 718.5 meV per atom
**Space group**: Cmmm

No. 2
Material: Pm6Sm2Th
Method: DFT, PBE-GGA
State: optimized geometry

Structure (POSCAR):
```
Pm6Sm2Th
1.0
-0.913 2.783 -2.152
-2.011 -3.027 0.007
-15.398 10.279 19.832
Pm Sm Th
6 2 1
Direct
0.667 0.333 0.892
0.333 0.667 0.436
0.333 0.667 0.782
0.333 0.667 0.218
0.333 0.667 0.564
0.667 0.333 0.108
0.667 0.333 0.330
0.667 0.333 0.670
0.333 0.667 0.000
```

Computed properties:
**Magnetic moment**: 0.0 μB/f.u.
**Fermi-level density of states**: 1.742 states/eV/atom
**Formation energy**: 67.0 meV per atom
**Space group**: P-6m2

No. 3
Material: Pm3Sm6Th
Method: DFT, PBE-GGA
State: optimized geometry

Structure (POSCAR):
```
Pm3Sm6Th
1.0
3.573 0.000 0.000
0.000 13.294 0.827
0.000 -3.513 14.134
Pm Sm Th
6 12 2
Direct
0.750 0.421 0.902
0.250 0.579 0.098
0.750 0.626 0.503
0.250 0.374 0.497
0.750 0.074 0.102
0.250 0.926 0.898
0.750 0.501 0.691
0.250 0.499 0.309
0.750 0.811 0.081
0.250 0.189 0.919
0.750 0.344 0.120
0.250 0.656 0.880
0.750 0.731 0.300
0.250 0.269 0.700
0.750 0.120 0.486
0.250 0.880 0.514
0.750 0.781 0.712
0.250 0.219 0.288
0.750 0.039 0.721
0.250 0.961 0.279
```

Computed properties:
**Magnetic moment**: 0.0 μB/f.u.
**Fermi-level density of states**: 1.464 states/eV/atom
**Formation energy**: 79.4 meV per atom
**Space group**: P2_1/m

No. 4
Material: Pm2Sm9Th
Method: DFT, PBE-GGA
State: optimized geometry

Structure (POSCAR):
```
Pm2Sm9Th
1.0
-1.782 -0.141 -4.806
3.721 -3.286 -1.284
-9.138 -11.804 3.734
Pm Sm Th
2 9 1
Direct
0.000 0.000 0.333
0.000 0.000 0.667
0.500 0.500 0.000
0.500 0.500 0.334
0.500 0.500 0.666
0.500 0.000 0.163
0.500 0.000 0.500
0.500 0.000 0.837
0.000 0.500 0.163
0.000 0.500 0.500
0.000 0.500 0.837
0.000 0.000 0.000
```

Computed properties:
**Magnetic moment**: 0.0 μB/f.u.
**Fermi-level density of states**: 1.483 states/eV/atom
**Formation energy**: 26.1 meV per atom
**Space group**: P4/mmm

No. 5
Material: PmSm2Th
Method: DFT, PBE-GGA
State: optimized geometry

Structure (POSCAR):
```
PmSm2Th
1.0
-5.459 1.528 0.961
-3.756 0.136 -4.351
-4.183 -3.932 -0.311
Sm Th Pm
2 1 1
Direct
0.250 0.250 0.250
0.750 0.750 0.750
0.000 0.000 0.000
0.500 0.500 0.500
```

Computed properties:
**Magnetic moment**: 0.0 μB/f.u.
**Fermi-level density of states**: 2.388 states/eV/atom
**Formation energy**: 182.7 meV per atom
**Space group**: Fm-3m

No. 6
Material: PmSmTh
Method: DFT, PBE-GGA
State: optimized geometry

Structure (POSCAR):
```
PmSmTh
1.0
6.851 0.000 -1.880
0.000 5.900 0.000
-0.842 0.000 10.267
Pm Sm Th
4 4 4
Direct
0.820 0.250 0.394
0.320 0.250 0.394
0.680 0.750 0.606
0.180 0.750 0.606
0.997 0.750 0.246
0.497 0.750 0.246
0.503 0.250 0.754
0.003 0.250 0.754
0.094 0.750 0.937
0.594 0.750 0.937
0.406 0.250 0.063
0.906 0.250 0.063
```

Computed properties:
**Magnetic moment**: 0.0 μB/f.u.
**Fermi-level density of states**: 1.561 states/eV/atom
**Formation energy**: 64.0 meV per atom
**Space group**: P2_1/m

No. 7
Material: Pm7Sm4Th
Method: DFT, PBE-GGA
State: optimized geometry

Structure (POSCAR):
```
Pm7Sm4Th
1.0
6.518 -1.887 2.786
0.729 5.880 2.274
2.860 -2.335 11.060
Pm Sm Th
7 4 1
Direct
0.755 0.500 0.000
0.245 0.500 0.000
0.082 0.275 0.670
0.918 0.725 0.330
0.328 0.781 0.672
0.500 0.000 0.000
0.672 0.219 0.328
0.423 0.725 0.329
0.577 0.275 0.671
0.835 0.778 0.665
0.165 0.222 0.335
0.000 0.000 0.000
```

Computed properties:
**Magnetic moment**: 0.0 μB/f.u.
**Fermi-level density of states**: 1.361 states/eV/atom
**Formation energy**: 18.2 meV per atom
**Space group**: P-1

No. 8
Material: Pm7Sm3Th
Method: DFT, PBE-GGA
State: optimized geometry

Structure (POSCAR):
```
Pm7Sm3Th
1.0
-8.411 -2.112 1.275
1.783 -3.410 6.110
-1.737 7.007 0.151
Pm Sm Th
7 3 1
Direct
0.119 0.170 0.830
0.119 0.170 0.339
0.117 0.667 0.333
0.451 0.833 0.167
0.451 0.335 0.167
0.451 0.833 0.665
0.119 0.661 0.830
0.779 0.497 0.503
0.779 0.497 0.995
0.779 0.005 0.503
0.449 0.333 0.667
```

Computed properties:
**Magnetic moment**: 0.0 μB/f.u.
**Fermi-level density of states**: 1.592 states/eV/atom
**Formation energy**: 181.6 meV per atom
**Space group**: P3m1

No. 9
Material: PmSm2Th4
Method: DFT, PBE-GGA
State: optimized geometry

Structure (POSCAR):
```
PmSm2Th4
1.0
3.559 0.000 -0.470
0.000 3.584 0.000
0.603 0.000 18.292
Pm Sm Th
1 2 4
Direct
0.500 0.000 0.000
0.793 0.500 0.587
0.207 0.500 0.413
0.928 0.500 0.856
0.639 0.000 0.278
0.072 0.500 0.144
0.361 0.000 0.722
```

Computed properties:
**Magnetic moment**: 0.0 μB/f.u.
**Fermi-level density of states**: 1.542 states/eV/atom
**Formation energy**: 81.5 meV per atom
**Space group**: Cmmm

No. 10
Material: Pm6Sm5Th
Method: DFT, PBE-GGA
State: optimized geometry

Structure (POSCAR):
```
Pm6Sm5Th
1.0
6.129 0.000 1.488
3.064 5.450 0.744
-0.770 0.000 12.051
Th Sm Pm
1 5 6
Direct
0.000 0.000 0.000
0.167 0.667 0.500
0.333 0.333 0.000
0.500 0.000 0.500
0.667 0.667 0.000
0.833 0.333 0.500
0.588 0.329 0.248
0.082 0.329 0.752
0.753 0.000 0.752
0.247 0.000 0.248
0.918 0.671 0.248
0.412 0.671 0.752
```

Computed properties:
**Magnetic moment**: 0.0 μB/f.u.
**Fermi-level density of states**: 1.473 states/eV/atom
**Formation energy**: 28.4 meV per atom
**Space group**: C2/m